Crystalline Dy3Mg3Zn8 at its relaxed geometry. Source: the Alexandria database, functional GGA-PBE.

Cell lengths 4.468, 9.077, 13.469 Å; angles 90.00, 90.00, 90.00 degrees
Space group Immm (No. 71)
Unique sites:
Dy1 0.000 0.000 0.000
Dy2 0.000 0.000 0.293
Mg1 0.000 0.204 0.500
Mg2 0.000 0.500 0.000
Zn1 0.000 0.274 0.145
Zn2 0.000 0.364 0.335


Crystalline DyMgZn2 at its relaxed geometry. Source: the Alexandria database, functional GGA-PBE.

Energy relative to the lowest polymorph listed for this composition in meV/atom: 110.9

Cell lengths 3.390, 3.390, 7.046 Å; angles 90.00, 90.00, 90.00 degrees
Space group P4/mmm (No. 123)
Unique sites:
Dy1 0.000 0.000 0.000
Mg1 0.000 0.000 0.500
Zn1 0.500 0.500 0.276


Crystalline Dy3Mg2Zn3 at its relaxed geometry. Source: the Alexandria database, functional GGA-PBE.

Cell lengths 3.523, 5.099, 20.390 Å; angles 90.00, 90.00, 90.00 degrees
Space group Immm (No. 71)
Unique sites:
Dy1 0.000 0.000 0.000
Dy2 0.000 0.500 0.122
Mg1 0.000 0.000 0.234
Zn1 0.000 0.000 0.500
Zn2 0.000 0.500 0.378


Crystalline Dy3Mg2Zn at its relaxed geometry. Source: the Alexandria database, functional GGA-PBE.

Cell lengths 3.653, 3.653, 11.522 Å; angles 90.00, 90.00, 90.00 degrees
Space group P4/mmm (No. 123)
Unique sites:
Dy1 0.000 0.000 0.000
Dy2 0.000 0.000 0.352
Mg1 0.500 0.500 0.173
Zn1 0.500 0.500 0.500


Crystalline Dy2MgZn6 at its relaxed geometry. Source: the Alexandria database, functional GGA-PBE.

Cell lengths 5.7592, 5.7592, 5.9640 Å; angles 90.00, 90.00, 120.00 degrees
Space group P-3m1 (No. 164)
Unique sites:
Dy1 0.3333 0.6667 0.1445
Mg1 0.0000 0.0000 0.0000
Zn1 0.1793 0.3586 0.6568


Crystalline DyMg4Zn at its relaxed geometry. Source: the Alexandria database, functional GGA-PBE.

Cell lengths 16.057, 7.085, 5.277 Å; angles 90.00, 109.12, 90.00 degrees
Space group C2/m (No. 12)
Unique sites:
Dy1 0.204 0.000 0.204
Mg1 0.000 0.187 0.000
Mg2 0.118 0.225 0.618
Mg3 0.169 0.500 0.169
Zn1 0.000 0.500 0.267


Crystalline DyMg9Zn3 at its relaxed geometry. Source: the Alexandria database, functional GGA-PBE.

Cell lengths 5.661, 13.871, 7.461 Å; angles 90.00, 111.21, 90.00 degrees
Space group C2/m (No. 12)
Unique sites:
Dy1 0.000 0.000 0.000
Mg1 0.000 0.000 0.500
Mg2 0.099 0.392 0.209
Mg3 0.171 0.177 0.340
Zn1 0.000 0.500 0.500
Zn2 0.250 0.250 0.000


Crystalline Dy2Mg3Zn2 at its relaxed geometry. Source: the Alexandria database, functional GGA-PBE.

Cell lengths 10.232, 4.451, 7.175 Å; angles 90.00, 97.69, 90.00 degrees
Space group C2/m (No. 12)
Unique sites:
Dy1 0.127 0.000 0.357
Mg1 0.000 0.500 0.000
Mg2 0.185 0.000 0.862
Zn1 0.084 0.500 0.649


Crystalline DyMgZn2 at its relaxed geometry. Source: the Alexandria database, functional GGA-PBE.

Energy relative to the lowest polymorph listed for this composition in meV/atom: 0.0

Cell lengths 6.825, 6.825, 6.825 Å; angles 90.00, 90.00, 90.00 degrees
Space group Fm-3m (No. 225)
Unique sites:
Dy1 0.000 0.000 0.000
Mg1 0.000 0.000 0.500
Zn1 0.250 0.250 0.250


Crystalline Dy6Mg2Zn at its relaxed geometry. Source: the Alexandria database, functional GGA-PBE.

Cell lengths 6.337, 9.347, 9.873 Å; angles 90.00, 117.52, 90.00 degrees
Space group P2_1/c (No. 14)
Unique sites:
Dy1 0.073 0.035 0.200
Dy2 0.143 0.688 0.053
Dy3 0.426 0.173 0.029
Mg1 0.382 0.093 0.724
Zn1 0.500 0.000 0.500


Crystalline Dy2Mg3Zn at its relaxed geometry. Source: the Alexandria database, functional GGA-PBE.

Cell lengths 3.316, 5.036, 8.737 Å; angles 90.00, 90.00, 90.00 degrees
Space group Pmm2 (No. 25)
Unique sites:
Dy1 0.000 0.000 0.000
Dy2 0.000 0.500 0.470
Mg1 0.500 0.000 0.645
Mg2 0.500 0.500 0.153
Mg3 0.500 0.500 0.815
Zn1 0.500 0.000 0.319


Crystalline DyMg2Zn at its relaxed geometry. Source: the Alexandria database, functional GGA-PBE.

Cell lengths 4.352, 4.352, 4.846 Å; angles 90.00, 90.00, 90.00 degrees
Space group P4/mmm (No. 123)
Unique sites:
Dy1 0.000 0.000 0.000
Mg1 0.000 0.500 0.500
Zn1 0.500 0.500 0.000


Crystalline Dy4MgZn at its relaxed geometry. Source: the Alexandria database, functional GGA-PBE.

Energy relative to the lowest polymorph listed for this composition in meV/atom: 0.0

Cell lengths 3.574, 3.574, 12.814 Å; angles 90.00, 90.00, 90.00 degrees
Space group P4/mmm (No. 123)
Unique sites:
Dy1 0.000 0.000 0.139
Dy2 0.500 0.500 0.330
Mg1 0.000 0.000 0.500
Zn1 0.500 0.500 0.000


Crystalline DyMgZrZn at its relaxed geometry. Source: the Alexandria database, functional GGA-PBE.

Energy relative to the lowest polymorph listed for this composition in meV/atom: 53.2

Cell lengths 7.075, 7.075, 7.075 Å; angles 90.00, 90.00, 90.00 degrees
Space group F-43m (No. 216)
Unique sites:
Dy1 0.000 0.000 0.000
Mg1 0.250 0.250 0.250
Zr1 0.000 0.000 0.500
Zn1 0.250 0.250 0.750


Crystalline DyMgZrZn at its relaxed geometry. Source: the Alexandria database, functional GGA-PBE.

Energy relative to the lowest polymorph listed for this composition in meV/atom: 0.0

Cell lengths 3.509, 3.509, 7.269 Å; angles 90.00, 90.00, 90.00 degrees
Space group P4mm (No. 99)
Unique sites:
Dy1 0.000 0.000 0.000
Mg1 0.500 0.500 0.289
Zr1 0.000 0.000 0.537
Zn1 0.500 0.500 0.747


Crystalline Dy2MgZr at its relaxed geometry. Source: the Alexandria database, functional GGA-PBE.

Energy relative to the lowest polymorph listed for this composition in meV/atom: 135.6

Cell lengths 7.560, 7.560, 7.560 Å; angles 90.00, 90.00, 90.00 degrees
Space group Fm-3m (No. 225)
Unique sites:
Dy1 0.250 0.250 0.250
Mg1 0.000 0.000 0.000
Zr1 0.000 0.000 0.500


Crystalline Dy3Mg2Zr2 at its relaxed geometry. Source: the Alexandria database, functional GGA-PBE.

Cell lengths 5.051, 22.608, 3.336 Å; angles 90.00, 90.00, 90.00 degrees
Space group Cmmm (No. 65)
Unique sites:
Dy1 0.000 0.000 0.000
Dy2 0.000 0.152 0.000
Mg1 0.000 0.426 0.500
Zr1 0.000 0.277 0.500


Crystalline DyMgZr2 at its relaxed geometry. Source: the Alexandria database, functional GGA-PBE.

Energy relative to the lowest polymorph listed for this composition in meV/atom: 29.8

Cell lengths 3.2436, 3.2436, 32.5498 Å; angles 90.00, 90.00, 120.00 degrees
Space group R-3m (No. 166, hexagonal axes)
Unique sites:
Dy1 0.0000 0.0000 0.0000
Mg1 0.0000 0.0000 0.5000
Zr1 0.0000 0.0000 0.2488


Crystalline DyMgZr2 at its relaxed geometry. Source: the Alexandria database, functional GGA-PBE.

Energy relative to the lowest polymorph listed for this composition in meV/atom: 4.1

Cell lengths 3.257, 3.257, 9.203 Å; angles 90.00, 90.00, 90.00 degrees
Space group P4/mmm (No. 123)
Unique sites:
Dy1 0.000 0.000 0.000
Mg1 0.000 0.000 0.500
Zr1 0.500 0.500 0.260


Crystalline Dy4Mg3Zr at its relaxed geometry. Source: the Alexandria database, functional GGA-PBE.

Cell lengths 3.554, 5.483, 11.140 Å; angles 90.00, 90.00, 90.00 degrees
Space group Pmmm (No. 47)
Unique sites:
Dy1 0.000 0.000 0.000
Dy2 0.000 0.000 0.500
Dy3 0.000 0.500 0.250
Mg1 0.500 0.000 0.249
Mg2 0.500 0.500 0.000
Zr1 0.500 0.500 0.500


For the records above, the corresponding formation enthalpy at 0 K values read -0.283 -0.222 -0.231 -0.163 -0.265 -0.001 -0.094 -0.187 -0.333 0.043 -0.109 -0.123 -0.121 -0.069 -0.123 0.128 0.036 0.118 0.092 0.011 eV/atom.
For the records above, the corresponding E_tot values read -0.086 -0.089 -0.104 -0.118 -0.085 -0.075 -0.068 -0.094 -0.093 -0.129 -0.098 -0.088 -0.135 -0.150 -0.152 -0.173 -0.178 -0.210 -0.211 -0.145 Ha/atom.